Record 1
VASP calculation (PBE) on HfPAuO after structural relaxation.

Unit cell a=5.4109 b=5.4109 c=4.4676 alpha=90.00 beta=90.00 gamma=90.00
Sites, in units of the cell vectors:
O  0.5000  0.5000  0.0000
O  0.0000  0.0000  0.0000
Hf  0.0000  0.0000  0.5000
Hf  0.5000  0.5000  0.5000
Au  0.0000  0.5000  0.0823
Au  0.5000  0.0000  0.9177
P  0.5000  0.0000  0.4227
P  0.0000  0.5000  0.5773

Calculated values
The energy above the lowest structure with this stoichiometry is 423 meV per atom. Its space group is P4/nmm, No. 129. For the theoretical density, the calculation gives 10.7 Mg/m³.

=====

Record 2
VASP calculation (PBE) on HfPAuO after structural relaxation.

Unit cell a=4.0270 b=6.0455 c=5.5198 alpha=90.00 beta=90.00 gamma=90.00
Sites, in units of the cell vectors:
O  0.5000  0.8340  0.9473
O  0.5000  0.1660  0.4473
Hf  0.0000  0.7955  0.9087
Hf  0.0000  0.2045  0.4087
P  0.0000  0.2322  0.9168
P  0.0000  0.7678  0.4168
Au  0.5000  0.4255  0.9812
Au  0.5000  0.5745  0.4812

Calculated values
The energy above the lowest structure with this stoichiometry is 113 meV per atom. Its space group is Pmc2_1, No. 26. For the theoretical density, the calculation gives 10.4 Mg/m³.

=====

Record 3
VASP calculation (PBE) on HfPAuO after structural relaxation.

Unit cell a=3.9533 b=5.4587 c=7.1262 alpha=90.00 beta=90.00 gamma=90.00
Sites, in units of the cell vectors:
Hf  0.5000  0.5456  0.0090
Hf  0.5000  0.4544  0.5090
P  0.0000  0.2651  0.8957
P  0.0000  0.7349  0.3957
O  0.5000  0.3450  0.2444
O  0.5000  0.6550  0.7444
Au  0.0000  0.0704  0.6049
Au  0.0000  0.9296  0.1049

Calculated values
The energy above the lowest structure with this stoichiometry is 68 meV per atom. Its space group is Pmc2_1, No. 26. For the theoretical density, the calculation gives 9.1 Mg/m³.

=====

Record 4
VASP calculation (PBE) on RbHfAuO3 after structural relaxation.

Unit cell a=10.1146 b=3.2430 c=12.4741 alpha=90.00 beta=90.00 gamma=90.00
Sites, in units of the cell vectors:
Hf  0.8634  0.0000  0.9677
Hf  0.3634  0.5000  0.5324
Hf  0.6366  0.0000  0.4677
Hf  0.1366  0.5000  0.0324
O  0.2872  0.5000  0.9173
O  0.3102  0.0000  0.6233
O  0.5611  0.5000  0.5701
O  0.0610  0.0000  0.9299
O  0.7128  0.0000  0.0827
O  0.9389  0.5000  0.0701
O  0.6898  0.5000  0.3767
O  0.7872  0.0000  0.5827
O  0.1898  0.0000  0.1233
O  0.8102  0.5000  0.8767
O  0.4390  0.0000  0.4299
O  0.2128  0.5000  0.4173
Au  0.4128  0.0000  0.9659
Au  0.9129  0.5000  0.5341
Au  0.5871  0.5000  0.0341
Au  0.0872  0.0000  0.4659
Rb  0.6182  0.0000  0.7532
Rb  0.8818  0.0000  0.2532
Rb  0.1181  0.5000  0.7468
Rb  0.3819  0.5000  0.2468

Calculated values
Its space group is Pnma, No. 62. For the theoretical density, the calculation gives 8.3 Mg/m³.

=====

Record 5
VASP calculation (PBE) on HfTlAu3O4 after structural relaxation.

Unit cell a=5.6921 b=5.6921 c=5.6921 alpha=90.00 beta=90.00 gamma=90.00
Sites, in units of the cell vectors:
Au  0.0000  0.0000  0.5000
Au  0.0000  0.5000  0.0000
Au  0.5000  0.0000  0.0000
O  0.7948  0.2052  0.2052
O  0.2052  0.7948  0.2052
O  0.7948  0.7948  0.7948
O  0.2052  0.2052  0.7948
Hf  0.0000  0.0000  0.0000
Tl  0.5000  0.5000  0.5000

Calculated values
Its space group is P-43m, No. 215. For the theoretical density, the calculation gives 9.3 Mg/m³.

=====

Record 6
VASP calculation (PBE) on HfOsAu after structural relaxation.

Unit cell a=4.4408 b=4.4408 c=4.4408 alpha=60.00 beta=60.00 gamma=60.00
Sites, in units of the cell vectors:
Os  0.0000  0.0000  0.0000
Hf  0.7500  0.7500  0.7500
Au  0.2500  0.2500  0.2500

Calculated values
The energy above the lowest structure with this stoichiometry is 0 meV per atom. Its space group is F-43m, No. 216. For the theoretical density, the calculation gives 15.2 Mg/m³. The calculation puts the energy of formation at 6.2 kcal/mol of atoms.

=====

Record 7
VASP calculation (PBE) on HfOsAu after structural relaxation.

Unit cell a=4.4186 b=4.4186 c=4.4186 alpha=60.00 beta=60.00 gamma=60.00
Sites, in units of the cell vectors:
Hf  0.0000  0.0000  0.0000
Au  0.2500  0.2500  0.2500
Os  0.7500  0.7500  0.7500

Calculated values
The energy above the lowest structure with this stoichiometry is 52 meV per atom. Its space group is F-43m, No. 216. For the theoretical density, the calculation gives 15.4 Mg/m³. The calculation puts the energy of formation at 7.4 kcal/mol of atoms.

=====

Record 8
VASP calculation (PBE) on HfOsAu2 after structural relaxation.

Unit cell a=4.6228 b=4.6228 c=4.6228 alpha=60.00 beta=60.00 gamma=60.00
Sites, in units of the cell vectors:
Au  0.7500  0.7500  0.7500
Au  0.0000  0.0000  0.0000
Os  0.5000  0.5000  0.5000
Hf  0.2500  0.2500  0.2500

Calculated values
Its space group is F-43m, No. 216. For the theoretical density, the calculation gives 18.1 Mg/m³. The calculation puts the energy of formation at -0.2 kcal/mol of atoms.

=====

Record 9
VASP calculation (PBE) on Hf3PAu after structural relaxation.

Unit cell a=6.0358 b=6.0358 c=9.5845 alpha=90.00 beta=90.00 gamma=145.01
Sites, in units of the cell vectors:
Hf  0.5585  0.4415  0.2500
Hf  0.4415  0.5585  0.7500
Hf  0.8565  0.1435  0.0608
Hf  0.1435  0.8565  0.9392
Hf  0.8565  0.1435  0.4392
Hf  0.1435  0.8565  0.5608
P  0.5000  0.5000  0.5000
P  0.5000  0.5000  0.0000
Au  0.2482  0.7518  0.2500
Au  0.7518  0.2482  0.7500

Calculated values
Its space group is Cmcm, No. 63. For the theoretical density, the calculation gives 12.7 Mg/m³.

=====

Record 10
VASP calculation (PBE) on Hf3P5Au after structural relaxation.

Unit cell a=6.2370 b=6.2370 c=5.6752 alpha=90.00 beta=90.00 gamma=120.00
Sites, in units of the cell vectors:
P  0.3333  0.6667  0.8139
P  0.6667  0.3333  0.8139
P  0.3333  0.6667  0.1861
P  0.6667  0.3333  0.1861
P  0.0000  0.0000  0.5000
Hf  0.0000  0.5000  0.5000
Hf  0.5000  0.5000  0.5000
Hf  0.5000  0.0000  0.5000
Au  0.0000  0.0000  0.0000

Calculated values
Its space group is P6/mmm, No. 191. For the theoretical density, the calculation gives 7.7 Mg/m³.

=====

Record 11
VASP calculation (PBE) on Hf2PbAu3 after structural relaxation.

Unit cell a=3.5099 b=3.5099 c=10.0392 alpha=90.00 beta=90.00 gamma=90.00
Sites, in units of the cell vectors:
Au  0.0000  0.0000  0.3371
Au  0.0000  0.0000  0.6299
Au  0.5000  0.5000  0.1810
Hf  0.5000  0.5000  0.4837
Hf  0.0000  0.0000  0.0395
Pb  0.5000  0.5000  0.8288

Calculated values
Its space group is P4mm, No. 99. For the theoretical density, the calculation gives 15.5 Mg/m³.

=====

Record 12
VASP calculation (PBE) on Hf5Pb3Au after structural relaxation.

Unit cell a=8.7798 b=8.7798 c=5.9259 alpha=90.00 beta=90.00 gamma=120.00
Sites, in units of the cell vectors:
Pb  0.0000  0.3820  0.7500
Pb  0.6180  0.0000  0.2500
Pb  0.0000  0.6180  0.2500
Pb  0.3820  0.0000  0.7500
Pb  0.6180  0.6180  0.7500
Pb  0.3820  0.3820  0.2500
Hf  0.3333  0.6667  0.0000
Hf  0.7242  0.0000  0.7500
Hf  0.6667  0.3333  0.0000
Hf  0.6667  0.3333  0.5000
Hf  0.2758  0.0000  0.2500
Hf  0.0000  0.2758  0.2500
Hf  0.3333  0.6667  0.5000
Hf  0.0000  0.7242  0.7500
Hf  0.2758  0.2758  0.7500
Hf  0.7242  0.7242  0.2500
Au  0.0000  0.0000  0.5000
Au  0.0000  0.0000  0.0000

Calculated values
Its space group is P6_3/mcm, No. 193. For the theoretical density, the calculation gives 14.4 Mg/m³.

=====

Record 13
VASP calculation (PBE) on Hf2Pb2Au after structural relaxation.

Unit cell a=7.6878 b=7.6878 c=7.6878 alpha=148.52 beta=148.52 gamma=45.12
Sites, in units of the cell vectors:
Pb  0.2500  0.7500  0.5000
Pb  0.7500  0.2500  0.5000
Hf  0.5932  0.5932  0.0000
Hf  0.4068  0.4068  0.0000
Au  0.0000  0.0000  0.0000

Calculated values
Its space group is I4/mmm, No. 139. For the theoretical density, the calculation gives 13.0 Mg/m³.

=====

Record 14
VASP calculation (PBE) on Hf3Pb5Au after structural relaxation.

Unit cell a=5.9892 b=5.9892 c=8.1680 alpha=90.00 beta=90.00 gamma=120.00
Sites, in units of the cell vectors:
Pb  0.6667  0.3333  0.8191
Pb  0.3333  0.6667  0.1809
Pb  0.0000  0.0000  0.5000
Pb  0.6667  0.3333  0.1809
Pb  0.3333  0.6667  0.8191
Hf  0.5000  0.5000  0.5000
Hf  0.0000  0.5000  0.5000
Hf  0.5000  0.0000  0.5000
Au  0.0000  0.0000  0.0000

Calculated values
Its space group is P6/mmm, No. 191. For the theoretical density, the calculation gives 11.6 Mg/m³.

=====

Record 15
VASP calculation (PBE) on Hf3Pb2Au2 after structural relaxation.

Unit cell a=8.4025 b=8.4025 c=8.4025 alpha=33.53 beta=33.53 gamma=33.53
Sites, in units of the cell vectors:
Hf  0.3732  0.3732  0.3732
Hf  0.8760  0.8760  0.8760
Hf  0.6272  0.6272  0.6272
Au  0.4939  0.4939  0.4939
Au  0.0070  0.0070  0.0070
Pb  0.2423  0.2423  0.2423
Pb  0.7554  0.7554  0.7554

Calculated values
Its space group is R3m, No. 160. For the theoretical density, the calculation gives 13.8 Mg/m³.

=====

Record 16
VASP calculation (PBE) on Hf3Pb4Au4 after structural relaxation.

Unit cell a=7.2923 b=4.5348 c=7.8715 alpha=90.00 beta=90.97 gamma=90.00
Sites, in units of the cell vectors:
Pb  0.8115  0.2500  0.3831
Pb  0.1601  0.2500  0.0191
Pb  0.1718  0.7500  0.6222
Pb  0.8108  0.7500  0.9397
Au  0.5840  0.2500  0.0724
Au  0.2944  0.2500  0.4001
Au  0.7064  0.7500  0.5884
Au  0.3878  0.7500  0.9247
Hf  0.5007  0.7500  0.2825
Hf  0.5112  0.2500  0.7021
Hf  0.0593  0.7500  0.2629

Calculated values
The energy above the lowest structure with this stoichiometry is 28 meV per atom. Its space group is Pm, No. 6. For the theoretical density, the calculation gives 13.7 Mg/m³.

=====

Record 17
VASP calculation (PBE) on HfPb2Au after structural relaxation.

Unit cell a=5.1761 b=5.1761 c=5.1761 alpha=60.00 beta=60.00 gamma=60.00
Sites, in units of the cell vectors:
Hf  0.2500  0.2500  0.2500
Pb  0.7500  0.7500  0.7500
Pb  0.0000  0.0000  0.0000
Au  0.5000  0.5000  0.5000

Calculated values
The energy above the lowest structure with this stoichiometry is 0 meV per atom. Its space group is F-43m, No. 216. For the theoretical density, the calculation gives 13.4 Mg/m³.

=====

Record 18
VASP calculation (PBE) on Hf2Pb3Au2 after structural relaxation.

Unit cell a=8.7322 b=8.7322 c=8.7322 alpha=32.30 beta=32.30 gamma=32.30
Sites, in units of the cell vectors:
Pb  0.3572  0.3572  0.3572
Pb  0.6212  0.6212  0.6212
Pb  0.8954  0.8954  0.8954
Au  0.4835  0.4835  0.4835
Au  0.0708  0.0708  0.0708
Hf  0.7639  0.7639  0.7639
Hf  0.1829  0.1829  0.1829

Calculated values
Its space group is R3m, No. 160. For the theoretical density, the calculation gives 13.5 Mg/m³.

=====

Record 19
VASP calculation (PBE) on Hf3Pb4Au4 after structural relaxation.

Unit cell a=6.5695 b=6.5695 c=8.0071 alpha=65.78 beta=65.78 gamma=90.00
Sites, in units of the cell vectors:
Hf  0.2500  0.7500  0.5000
Hf  0.5000  0.5000  0.0000
Hf  0.7500  0.2500  0.5000
Au  0.8588  0.8588  0.7402
Au  0.1412  0.5990  0.2598
Au  0.5990  0.1412  0.2598
Au  0.4010  0.4010  0.7402
Pb  0.7773  0.7773  0.4453
Pb  0.0000  0.5000  0.0000
Pb  0.2227  0.2227  0.5547
Pb  0.5000  0.0000  0.0000

Calculated values
The energy above the lowest structure with this stoichiometry is 0 meV per atom. Its space group is I-42m, No. 121. For the theoretical density, the calculation gives 12.7 Mg/m³.

=====

Record 20
VASP calculation (PBE) on HfPdAu2 after structural relaxation.

Unit cell a=4.8227 b=5.7657 c=5.0594 alpha=90.00 beta=90.00 gamma=90.00
Sites, in units of the cell vectors:
Au  0.2500  0.0026  0.8404
Au  0.7500  0.5027  0.1596
Au  0.7500  0.9973  0.1596
Au  0.2500  0.4974  0.8404
Hf  0.2501  0.7500  0.3532
Hf  0.7499  0.2500  0.6468
Pd  0.7501  0.7500  0.6497
Pd  0.2499  0.2500  0.3503

Calculated values
Its space group is Pmmn, No. 59. For the theoretical density, the calculation gives 16.0 Mg/m³. The calculation puts the energy of formation at -14.5 kcal/mol of atoms.

=====

Record 21
VASP calculation (PBE) on HfPdAu2 after structural relaxation.

Unit cell a=4.6501 b=4.6501 c=4.6501 alpha=60.00 beta=60.00 gamma=60.00
Sites, in units of the cell vectors:
Au  0.2500  0.2500  0.2500
Au  0.0000  0.0000  0.0000
Pd  0.7500  0.7500  0.7500
Hf  0.5000  0.5000  0.5000

Calculated values
Its space group is F-43m, No. 216. For the theoretical density, the calculation gives 15.9 Mg/m³. The calculation puts the energy of formation at -11.7 kcal/mol of atoms.

=====

Record 22
VASP calculation (PBE) on Hf2PdAu after structural relaxation.

Unit cell a=4.6934 b=4.6934 c=4.6934 alpha=60.00 beta=60.00 gamma=60.00
Each line ends with the local moment (μB).
Sites, in units of the cell vectors:
Hf  0.0000  0.0000  0.0000  0.42
Hf  0.7500  0.7500  0.7500  0.41
Pd  0.5000  0.5000  0.5000  0.03
Au  0.2500  0.2500  0.2500  0.02

Calculated values
Its space group is F-43m, No. 216. For the theoretical density, the calculation gives 15.0 Mg/m³. The calculation puts the energy of formation at -6.4 kcal/mol of atoms.

=====

Record 23
VASP calculation (PBE) on Hf2PdAu3 after structural relaxation.

Unit cell a=3.5446 b=3.5446 c=8.7359 alpha=90.00 beta=90.00 gamma=90.00
Sites, in units of the cell vectors:
Au  0.0000  0.0000  0.3347
Au  0.5000  0.5000  0.1632
Au  0.0000  0.0000  0.6679
Pd  0.5000  0.5000  0.8361
Hf  0.0000  0.0000  0.9937
Hf  0.5000  0.5000  0.5043

Calculated values
Its space group is P4mm, No. 99. For the theoretical density, the calculation gives 16.0 Mg/m³. The calculation puts the energy of formation at -16.0 kcal/mol of atoms.

=====

Record 24
VASP calculation (PBE) on HfPd2Au after structural relaxation.

Unit cell a=4.5934 b=4.5934 c=4.5934 alpha=60.00 beta=60.00 gamma=60.00
Sites, in units of the cell vectors:
Pd  0.0000  0.0000  0.0000
Pd  0.2500  0.2500  0.2500
Au  0.7500  0.7500  0.7500
Hf  0.5000  0.5000  0.5000

Calculated values
Its space group is F-43m, No. 216. For the theoretical density, the calculation gives 14.3 Mg/m³. The calculation puts the energy of formation at -13.1 kcal/mol of atoms.

=====

Record 25
VASP calculation (PBE) on Hf2Pd3Au after structural relaxation.

Unit cell a=3.4644 b=3.4644 c=8.7028 alpha=90.00 beta=90.00 gamma=90.00
Sites, in units of the cell vectors:
Pd  0.0000  0.0000  0.6618
Pd  0.0000  0.0000  0.3394
Pd  0.5000  0.5000  0.8387
Hf  0.5000  0.5000  0.5039
Hf  0.0000  0.0000  0.9915
Au  0.5000  0.5000  0.1647

Calculated values
Its space group is P4mm, No. 99. For the theoretical density, the calculation gives 13.9 Mg/m³. The calculation puts the energy of formation at -18.8 kcal/mol of atoms.

=====

Quick rundown of E_tot, same order as above: -6.80; -7.11; -7.16; -6.94; -5.34; -7.88; -7.83; -6.94; -8.43; -6.95; -5.87; -7.27; -5.68; -5.42; -6.30; -5.37; -4.94; -5.39; -5.39; -6.05; -5.92; -7.37; -6.51; -6.46; -7.26 eV per atom